{"formula": "CaTlCd", "functional": "PBEsol", "state": "relaxed", "lattice_angstrom": [[-1.162, -4.813, 0.095], [2.819, -3.276, -2.417], [2.827, -3.180, 2.534]], "species": ["Cd", "Tl", "Ca"], "frac_coords": [[0.750, 0.750, 0.750], [0.000, 0.000, 0.000], [0.500, 0.500, 0.500]], "mass_density_g_cm3": 6.901, "m_tot_mub_per_fu": 0.0, "ef_ev_per_atom": -0.21, "space_group": "F-43m"}



{"formula": "Ca2TlCd", "functional": "PBEsol", "state": "relaxed", "lattice_angstrom": [[3.686, 0.000, 0.000], [0.000, 3.686, 0.000], [0.000, 0.000, 7.959]], "species": ["Cd", "Ca", "Ca", "Tl"], "frac_coords": [[0.500, 0.500, 0.000], [0.000, 0.000, 0.246], [0.000, 0.000, 0.754], [0.500, 0.500, 0.500]], "mass_density_g_cm3": 6.096, "m_tot_mub_per_fu": 0.0, "ef_ev_per_atom": -0.43, "space_group": "P4/mmm"}



{"formula": "CaTlCd", "functional": "PBEsol", "state": "relaxed", "lattice_angstrom": [[-1.451, -3.222, 0.632], [1.347, 0.046, 3.328], [-4.958, 4.236, 0.011]], "species": ["Tl", "Cd", "Ca"], "frac_coords": [[0.675, 0.675, 0.351], [0.328, 0.328, 0.657], [0.996, 0.996, 0.993]], "mass_density_g_cm3": 7.653, "m_tot_mub_per_fu": 0.0, "ef_ev_per_atom": -0.29, "space_group": "I4mm"}



{"formula": "Ca2TlCd", "functional": "PBEsol", "state": "relaxed", "lattice_angstrom": [[-2.665, -1.849, -1.837], [-1.122, -2.809, 4.454], [-3.594, 3.737, 1.451]], "species": ["Cd", "Ca", "Ca", "Tl"], "frac_coords": [[0.500, 0.000, 0.622], [0.000, 0.500, 0.626], [0.000, 0.000, 0.124], [0.500, 0.500, 0.127]], "mass_density_g_cm3": 6.100, "m_tot_mub_per_fu": 0.0, "ef_ev_per_atom": -0.45, "space_group": "Pmm2"}



{"formula": "Ca2TlCd", "functional": "PBEsol", "state": "relaxed", "lattice_angstrom": [[-0.609, -1.017, -3.503], [4.289, -3.349, 0.227], [-4.454, -2.443, 3.436]], "species": ["Ca", "Cd", "Ca", "Tl"], "frac_coords": [[0.771, 0.301, 0.542], [0.519, 0.473, 0.039], [0.981, 0.951, 0.961], [0.229, 0.775, 0.459]], "mass_density_g_cm3": 5.903, "m_tot_mub_per_fu": 0.0, "ef_ev_per_atom": -0.34, "space_group": "Cm"}



{"formula": "Ca3CdW", "functional": "PBEsol", "state": "relaxed", "lattice_angstrom": [[-5.036, -1.810, 1.791], [2.537, -3.220, 3.879], [-0.222, 4.267, 3.687]], "species": ["Ca", "Ca", "W", "Cd", "Ca"], "frac_coords": [[0.000, 0.500, 0.000], [0.000, 0.000, 0.500], [0.500, 0.500, 0.500], [0.000, 0.000, 0.000], [0.500, 0.000, 0.000]], "mass_density_g_cm3": 3.847, "m_tot_mub_per_fu": 4.2, "ef_ev_per_atom": 1.28, "space_group": "Pm-3m"}



{"formula": "CaCdW2", "functional": "PBEsol", "state": "relaxed", "lattice_angstrom": [[2.874, 0.000, 0.000], [1.437, 2.489, 0.000], [1.437, 0.830, 10.305]], "species": ["W", "Ca", "Cd", "W"], "frac_coords": [[0.746, 0.746, 0.761], [0.500, 0.500, 0.500], [0.000, 0.000, 0.000], [0.254, 0.254, 0.239]], "mass_density_g_cm3": 11.717, "m_tot_mub_per_fu": 0.0, "ef_ev_per_atom": 0.90, "space_group": "R-3m"}



{"formula": "CaCdW2", "functional": "PBEsol", "state": "relaxed", "lattice_angstrom": [[2.892, 0.000, 0.000], [1.446, 2.504, 0.000], [1.446, 0.835, 10.247]], "species": ["Cd", "W", "Ca", "W"], "frac_coords": [[0.255, 0.255, 0.234], [0.745, 0.745, 0.765], [0.497, 0.497, 0.510], [0.003, 0.003, 0.991]], "mass_density_g_cm3": 11.639, "m_tot_mub_per_fu": 0.0, "ef_ev_per_atom": 0.72, "space_group": "R3m"}



Number 8 is which compound?
CaCdW2